LaZrTa3 (PBE-GGA, optimized geometry); formation enthalpy at 0 K = 1921 meV per atom; polymorph energy (0 for the lowest one) = 554 meV per atom
1.0
-3.5544 2.3099 -2.5232
-3.4174 -2.2358 2.7673
0.1522 3.7418 3.2111
La Zr Ta
1 1 3
direct
0.0000 0.0000 0.0000
0.5000 0.5000 0.5000
0.0000 0.5000 0.0000
0.0000 0.0000 0.5000
0.5000 0.0000 0.0000